[1]
DFT (GGA-PBEsol) results for crystalline TcPPtO2 at its relaxed geometry.

It has space group P4/mmm (No. 123), with a = 3.726 Å, b = 3.726 Å, c = 5.316 Å, α = 90.00°, β = 90.00° and γ = 90.00°. The inequivalent atoms are Tc at (0.000, 0.000, 0.000), P at (0.500, 0.500, 0.000), Pt at (0.500, 0.500, 0.500) and O at (0.000, 0.500, 0.500).

Its uncorrected formation energy is 573 meV/atom. The density of states at the Fermi level comes out at 5.00 states/eV per cell.

[2]
DFT (GGA-PBEsol) results for crystalline CoOs2Se at its relaxed geometry.

It has space group R-3m (No. 166, hexagonal axes), with a = 2.7981 Å, b = 2.7981 Å, c = 24.2540 Å, α = 90.00°, β = 90.00° and γ = 120.00°. The inequivalent atoms are Co at (0.0000, 0.0000, 0.0000), Os at (0.0000, 0.0000, 0.2519) and Se at (0.0000, 0.0000, 0.5000).

Its uncorrected formation energy is 563 meV/atom. The density of states at the Fermi level comes out at 11.34 states/eV per cell.

[3]
DFT (GGA-PBEsol) results for crystalline ReMoIr2 at its relaxed geometry.

It has space group Pmm2 (No. 25), with a = 2.729 Å, b = 4.382 Å, c = 4.785 Å, α = 90.00°, β = 90.00° and γ = 90.00°. The inequivalent atoms are Re at (0.000, 0.000, 0.000), Mo at (0.000, 0.500, 0.336), Ir at (0.500, 0.000, 0.499) and Ir at (0.500, 0.500, 0.841).

As for the formation energy: -134.3 kJ/mol of formula units. The density of states at the Fermi level comes out at 1.69 states/eV per cell.

[4]
DFT (GGA-PBEsol) results for crystalline TiCoOF2 at its relaxed geometry.

It has space group P4/mmm (No. 123), with a = 3.938 Å, b = 3.938 Å, c = 3.647 Å, α = 90.00°, β = 90.00° and γ = 90.00°. The inequivalent atoms are Ti at (0.000, 0.000, 0.000), Co at (0.500, 0.500, 0.500), O at (0.500, 0.500, 0.000) and F at (0.000, 0.500, 0.500).

Its uncorrected formation energy is -1156 meV/atom. The density of states at the Fermi level comes out at 5.10 states/eV per cell.

[5]
DFT (GGA-PBEsol) results for crystalline CrIrCl at its relaxed geometry.

It has space group F-43m (No. 216), with a = 5.654 Å, b = 5.654 Å, c = 5.654 Å, α = 90.00°, β = 90.00° and γ = 90.00°. The inequivalent atoms are Cr at (0.000, 0.000, 0.000), Ir at (0.000, 0.000, 0.500) and Cl at (0.250, 0.250, 0.750).

Its uncorrected formation energy is 1177 meV/atom. The density of states at the Fermi level comes out at 9.08 states/eV per cell.

[6]
DFT (GGA-PBEsol) results for crystalline CoAs2Br at its relaxed geometry.

It has space group Cm (No. 8), with a = 7.981 Å, b = 3.280 Å, c = 6.754 Å, α = 90.00°, β = 110.57° and γ = 90.00°. The inequivalent atoms are Co at (0.000, 0.000, 0.000), As at (0.073, 0.500, 0.293), As at (0.232, 0.500, 0.061) and Br at (0.381, 0.000, 0.713).

Its uncorrected formation energy is -10 meV/atom. The density of states at the Fermi level comes out at 3.03 states/eV per cell.

The evaluated magnetic moment for the records listed, in turn: 0.462, 0.428, 0.000, 0.894, 0.791, 0.000 μB per atom.